1.
BaSc2O4, single point on PBEsol structure, DFT meta-GGA SCAN; crystal system = monoclinic; density of states at the Fermi level = 0.0 states/eV/cell; formation energy (no corrections) = -25.33 eV/f.u.; total magnetization = 0.00 μB per cell; final energy = -16.8976 eV per atom
1.0
4.9035 -2.8940 0.0000
4.9035 2.8940 0.0000
-0.0479 0.0000 20.4911
Ba Sc O
6 12 24
Direct
0.1128 0.8872 0.7500 Ba
0.2215 0.4479 0.3620 Ba
0.4479 0.2215 0.8620 Ba
0.5521 0.7785 0.1380 Ba
0.7785 0.5521 0.6380 Ba
0.8872 0.1128 0.2500 Ba
0.1174 0.8772 0.5698 Sc
0.1228 0.8826 0.9302 Sc
0.2127 0.4595 0.0529 Sc
0.2171 0.4456 0.1947 Sc
0.4456 0.2171 0.6947 Sc
0.4595 0.2127 0.5529 Sc
0.5405 0.7873 0.4471 Sc
0.5544 0.7829 0.3053 Sc
0.7829 0.5544 0.8053 Sc
0.7873 0.5405 0.9471 Sc
0.8772 0.1174 0.0698 Sc
0.8826 0.1228 0.4302 Sc
0.0186 0.3200 0.1244 O
0.0873 0.7751 0.1237 O
0.1003 0.2053 0.9968 O
0.1098 0.3657 0.7488 O
0.2053 0.1003 0.4968 O
0.2249 0.9127 0.3763 O
0.2553 0.5316 0.6197 O
0.3200 0.0186 0.6244 O
0.3657 0.1098 0.2488 O
0.4180 0.5820 0.2500 O
0.4684 0.7447 0.8803 O
0.5000 0.5000 0.0000 O
0.5000 0.5000 0.5000 O
0.5316 0.2553 0.1197 O
0.5820 0.4180 0.7500 O
0.6343 0.8902 0.7512 O
0.6800 0.9814 0.3756 O
0.7447 0.4684 0.3803 O
0.7751 0.0873 0.6237 O
0.7947 0.8997 0.5032 O
0.8902 0.6343 0.2512 O
0.8997 0.7947 0.0032 O
0.9127 0.2249 0.8763 O
0.9814 0.6800 0.8756 O

***

2.
MgTi2SiPd, single point on PBEsol structure, DFT meta-GGA SCAN; crystal system = tetragonal; density of states at the Fermi level = 3.4 states/eV/cell; formation energy (no corrections) = 5.25 eV/f.u.; total magnetization = 0.00 μB per cell; final energy = -14.9154 eV per atom
1.0
4.6398 0.0000 0.0000
0.0000 4.6398 0.0000
0.0000 0.0000 4.3908
Mg Ti Si Pd
1 2 1 1
Direct
0.0000 0.0000 0.0000 Mg
0.0000 0.5000 0.0000 Ti
0.5000 0.0000 0.0000 Ti
0.5000 0.5000 0.5000 Si
0.0000 0.0000 0.5000 Pd

***

3.
LiZn2Te, single point on PBEsol structure, DFT meta-GGA SCAN; crystal system = monoclinic; density of states at the Fermi level = 1.1 states/eV/cell; formation energy (no corrections) = -0.65 eV/f.u.; total magnetization = 0.00 μB per cell; final energy = -16.8300 eV per atom
1.0
2.6230 -5.6768 0.0000
2.6230 5.6768 0.0000
-1.6828 0.0000 2.5862
Li Zn Te
1 2 1
Direct
0.0000 0.0000 0.0000 Li
0.0000 0.5000 0.0000 Zn
0.5000 0.0000 0.0000 Zn
0.5000 0.5000 0.0000 Te

***

4.
P3W, single point on PBEsol structure, DFT meta-GGA SCAN; E above lowest polymorph = 524 meV per atom; crystal system = orthorhombic; density of states at the Fermi level = 2.4 states/eV/cell; total magnetization = 0.00 μB per cell; final energy = -24.8141 eV per atom; formation energy = 0.41 eV/atom
1.0
3.3966 0.0000 0.0000
0.0000 4.9760 0.0000
0.0000 0.0000 3.5150
P W
3 1
Direct
0.0000 0.0000 0.0000 P
0.0000 0.5000 0.1457 P
0.5000 0.0000 0.5732 P
0.5000 0.5000 0.6346 W

***

5.
ZnTe2P, single point on PBEsol structure, DFT meta-GGA SCAN; E above lowest polymorph = 0 meV per atom; crystal system = monoclinic; density of states at the Fermi level = 2.0 states/eV/cell; formation energy (no corrections) = 0.97 eV/f.u.; total magnetization = 0.00 μB per cell; final energy = -24.3613 eV per atom
1.0
3.9210 -3.9434 0.0000
3.9210 3.9434 0.0000
-0.3656 0.0000 3.0309
Zn Te P
1 2 1
Direct
0.0000 0.0000 0.0000 Zn
0.0000 0.5000 0.0000 Te
0.5000 0.0000 0.0000 Te
0.5000 0.5000 0.0000 P

***

6.
SrCaCu2O4, single point on PBEsol structure, DFT meta-GGA SCAN; E above lowest polymorph = 0 meV per atom; crystal system = tetragonal; density of states at the Fermi level = 1.3 states/eV/cell; formation energy (no corrections) = -15.73 eV/f.u.; total magnetization = 0.00 μB per cell; final energy = -12.8736 eV per atom
1.0
-2.7264 2.7264 3.2975
2.7264 -2.7264 3.2975
2.7264 2.7264 -3.2975
Sr Ca Cu O
1 1 2 4
Direct
0.0000 0.0000 0.0000 Sr
0.5000 0.5000 0.0000 Ca
0.2500 0.7500 0.5000 Cu
0.7500 0.2500 0.5000 Cu
0.0000 0.0000 0.5000 O
0.0000 0.5000 0.0000 O
0.5000 0.0000 0.0000 O
0.5000 0.5000 0.5000 O

***

7.
NbFeAsSe2, single point on PBEsol structure, DFT meta-GGA SCAN; crystal system = tetragonal; density of states at the Fermi level = 4.5 states/eV/cell; formation energy (no corrections) = 2.34 eV/f.u.; total magnetization = 3.82 μB per cell; final energy = -21.8527 eV per atom
1.0
4.9240 0.0000 0.0000
0.0000 4.9240 0.0000
0.0000 0.0000 5.0120
Nb Fe As Se
1 1 1 2
Direct
0.0000 0.0000 0.0000 Nb
0.5000 0.5000 0.5000 Fe
0.0000 0.0000 0.5000 As
0.0000 0.5000 0.0000 Se
0.5000 0.0000 0.0000 Se

***

8.
ScHgIr2, single point on PBEsol structure, DFT meta-GGA SCAN; crystal system = tetragonal; density of states at the Fermi level = 3.3 states/eV/cell; total magnetization = 0.00 μB per cell; final energy = -56.4603 eV per atom; formation energy = -0.31 eV/atom
1.0
-2.0391 2.0391 3.9273
2.0391 -2.0391 3.9273
2.0391 2.0391 -3.9273
Sc Hg Ir
1 1 2
Direct
0.0000 0.0000 0.0000 Sc
0.5000 0.5000 0.0000 Hg
0.2500 0.7500 0.5000 Ir
0.7500 0.2500 0.5000 Ir

***

9.
LaSiNi2, single point on PBEsol structure, DFT meta-GGA SCAN; crystal system = tetragonal; density of states at the Fermi level = 3.3 states/eV/cell; formation energy (no corrections) = -0.75 eV/f.u.; total magnetization = 0.00 μB per cell; final energy = -21.5539 eV per atom
1.0
3.0971 0.0000 0.0000
0.0000 3.0971 0.0000
0.0000 0.0000 6.5352
La Si Ni
1 1 2
Direct
0.0000 0.0000 0.0000 La
0.5000 0.5000 0.6409 Si
0.0000 0.0000 0.4953 Ni
0.5000 0.5000 0.2912 Ni

***

10.
TeW2Cl, single point on PBEsol structure, DFT meta-GGA SCAN; E above lowest polymorph = 1236 meV per atom; crystal system = orthorhombic; density of states at the Fermi level = 3.5 states/eV/cell; formation energy (no corrections) = 5.28 eV/f.u.; total magnetization = 0.50 μB per cell; final energy = -44.8313 eV per atom
1.0
2.9697 0.0000 0.0000
0.0000 4.4658 0.0000
0.0000 0.0000 5.3885
Te W Cl
1 2 1
Direct
0.0000 0.0000 0.0000 Te
0.0000 0.5000 0.5000 W
0.5000 0.5000 0.0000 W
0.5000 0.0000 0.5000 Cl

***

11.
Nb2Si2Ir, single point on PBEsol structure, DFT meta-GGA SCAN; crystal system = tetragonal; density of states at the Fermi level = 8.6 states/eV/cell; formation energy (no corrections) = -3.67 eV/f.u.; total magnetization = 0.00 μB per cell; final energy = -32.2128 eV per atom
1.0
6.1112 0.0000 0.0000
0.0000 6.1112 0.0000
0.0000 0.0000 4.0027
Nb Si Ir
4 4 2
Direct
0.1665 0.3335 0.0000 Nb
0.3335 0.8335 0.0000 Nb
0.6665 0.1665 0.0000 Nb
0.8335 0.6665 0.0000 Nb
0.1350 0.6350 0.5000 Si
0.3650 0.1350 0.5000 Si
0.6350 0.8650 0.5000 Si
0.8650 0.3650 0.5000 Si
0.0000 0.0000 0.5000 Ir
0.5000 0.5000 0.5000 Ir

***

12.
In2Se, single point on PBEsol structure, DFT meta-GGA SCAN; E above lowest polymorph = 33 meV per atom; crystal system = hexagonal; density of states at the Fermi level = 1.8 states/eV/cell; formation energy (no corrections) = -0.92 eV/f.u.; total magnetization = 0.00 μB per cell; final energy = -29.2570 eV per atom
1.0
4.0321 0.0000 0.0000
-2.0160 3.4919 0.0000
0.0000 0.0000 11.3306
In Se
4 2
Direct
0.3333 0.6667 0.0932 In
0.3333 0.6667 0.4068 In
0.6667 0.3333 0.5932 In
0.6667 0.3333 0.9068 In
0.0000 0.0000 0.2500 Se
0.0000 0.0000 0.7500 Se